Record 1
A plane-wave DFT calculation with PBE was carried out for a relaxed structure of BeGa2Bi.

Lattice parameters (Å, degrees): 4.8701 4.8701 8.2563 72.85 72.85 90.00
Last column: nearest neighbours and their distance in Å.
Atoms (fractional coordinates):
Be1 0.5000 0.5000 0.0000  4 Ga 2.32
Be2 0.2500 0.7500 0.5000  4 Ga 2.32
Bi1 0.0000 0.0000 0.0000  4 Ga 2.89
Bi2 0.7500 0.2500 0.5000  4 Ga 2.89
Ga1 0.4994 0.1250 0.2500  2 Be 2.32
Ga2 0.2506 0.6250 0.2500  2 Be 2.32
Ga3 0.3750 0.5006 0.7500  2 Be 2.32
Ga4 0.8750 0.7494 0.7500  2 Be 2.32

As for the size of the total moment: 0.00 μB per cell. As for the energy of formation: 0.2615 eV per atom. For the offset from the most stable computed form, the calculation gives 0 meV per atom. The calculation puts the density of states at the Fermi level at 1.3 states/eV/f.u. Its total energy is -3.1537 eV/atom. As for the mass density: 6.670 g cm⁻³.

=====

Record 2
A plane-wave DFT calculation with PBE was carried out for a relaxed structure of SrCdW4.

Lattice parameters (Å, degrees): 5.5381 5.5381 5.5381 60.00 60.00 60.00
Last column: nearest neighbours and their distance in Å.
Atoms (fractional coordinates):
Sr1 0.0000 0.0000 0.0000  12 W 3.25, 4 Cd 3.39
Cd1 0.7500 0.7500 0.7500  12 W 3.25, 4 Sr 3.39
W1 0.8765 0.3745 0.3745  6 W 2.76-2.78
W2 0.3745 0.3745 0.8765  6 W 2.76-2.78
W3 0.3745 0.8765 0.3745  6 W 2.76-2.78
W4 0.3745 0.3745 0.3745  6 W 2.76-2.78

As for the size of the total moment: 0.00 μB per cell. As for the energy of formation: 0.7993 eV per atom. The calculation puts the density of states at the Fermi level at 6.9 states/eV/f.u. Its total energy is -8.2690 eV/atom. As for the mass density: 12.933 g cm⁻³.

=====

Record 3
A plane-wave DFT calculation with PBE was carried out for a relaxed structure of Pr3Er3Mg.

Lattice parameters (Å, degrees): 6.2517 6.2517 14.4931 77.54 77.54 60.00
Last column: nearest neighbours and their distance in Å.
Atoms (fractional coordinates):
Pr1 0.9345 0.2668 0.1952  2 Mg 3.45, 3 Er 3.55-3.56, 6 Pr 3.59-3.62
Pr2 0.6035 0.9345 0.1952  2 Mg 3.45, 3 Er 3.55-3.56, 6 Pr 3.59-3.62
Pr3 0.2668 0.6035 0.1952  2 Mg 3.45, 3 Er 3.55-3.56, 6 Pr 3.59-3.62
Pr4 0.7332 0.3965 0.8048  2 Mg 3.45, 3 Er 3.55-3.56, 6 Pr 3.59-3.62
Pr5 0.3965 0.0655 0.8048  2 Mg 3.45, 3 Er 3.55-3.56, 6 Pr 3.59-3.62
Pr6 0.0655 0.7332 0.8048  2 Mg 3.45, 3 Er 3.55-3.56, 6 Pr 3.59-3.62
Er1 0.1996 0.8668 0.4001  9 Er 3.49-3.61, 3 Pr 3.55-3.56
Er2 0.5335 0.1996 0.4001  9 Er 3.49-3.61, 3 Pr 3.55-3.56
Er3 0.8668 0.5335 0.4001  9 Er 3.49-3.61, 3 Pr 3.55-3.56
Er4 0.1332 0.4665 0.5999  9 Er 3.49-3.61, 3 Pr 3.55-3.56
Er5 0.4665 0.8004 0.5999  9 Er 3.49-3.61, 3 Pr 3.55-3.56
Er6 0.8004 0.1332 0.5999  9 Er 3.49-3.61, 3 Pr 3.55-3.56
Mg1 0.6667 0.6667 0.9999  6 Pr 3.45, 3 Mg 3.61
Mg2 0.3333 0.3333 0.0001  6 Pr 3.45, 3 Mg 3.61

As for the size of the total moment: 0.00 μB per cell. As for the energy of formation: 0.0825 eV per atom. For the offset from the most stable computed form, the calculation gives 68 meV per atom. The calculation puts the density of states at the Fermi level at 9.8 states/eV/f.u. Its total energy is -4.1492 eV/atom. As for the mass density: 6.632 g cm⁻³.

=====

Record 4
A plane-wave DFT calculation with PBE was carried out for a relaxed structure of K3TlFe2Cl8.

Lattice parameters (Å, degrees): 7.8022 7.8022 8.9099 90.00 90.00 120.00
Last column: nearest neighbours and their distance in Å.
Atoms (fractional coordinates):
K1 0.3333 0.6667 0.5929  1 Cl 2.98
K2 0.6667 0.3333 0.4071  1 Cl 2.98
K3 0.0000 0.0000 0.0000  6 Cl 3.52
Tl1 0.0000 0.0000 0.5000  6 Cl 3.07
Fe1 0.3333 0.6667 0.1769  4 Cl 2.23-2.31
Fe2 0.6667 0.3333 0.8231  4 Cl 2.23-2.31
Cl1 0.3333 0.6667 0.9269  1 Fe 2.23
Cl2 0.6667 0.3333 0.0731  1 Fe 2.23
Cl3 0.1784 0.8216 0.2876  1 Fe 2.31
Cl4 0.8216 0.1784 0.7124  1 Fe 2.31
Cl5 0.1784 0.3569 0.2876  1 Fe 2.31
Cl6 0.8216 0.6431 0.7124  1 Fe 2.31
Cl7 0.6431 0.8216 0.2876  1 Fe 2.31
Cl8 0.3569 0.1784 0.7124  1 Fe 2.31

As for the size of the total moment: 8.00 μB per cell. Its formation energy without anion corrections is -17.38 eV/f.u. The calculation puts the density of states at the Fermi level at 13.7 states/eV/f.u. Its total energy is -3.9101 eV/atom. As for the mass density: 2.535 g cm⁻³.

=====

Record 5
A plane-wave DFT calculation with PBE was carried out for a relaxed structure of Mg3Tl2In.

Lattice parameters (Å, degrees): 3.5243 3.5243 11.8382 90.00 90.00 90.00
Last column: nearest neighbours and their distance in Å.
Atoms (fractional coordinates):
Mg1 0.0000 0.0000 0.0000  8 Tl 3.20, 4 Mg 3.52
Mg2 0.0000 0.0000 0.6630  4 In 3.15, 4 Tl 3.19, 4 Mg 3.52
Mg3 0.0000 0.0000 0.3370  4 In 3.15, 4 Tl 3.19, 4 Mg 3.52
Tl1 0.5000 0.5000 0.8309  8 Mg 3.19-3.20, 4 Tl 3.52
Tl2 0.5000 0.5000 0.1691  8 Mg 3.19-3.20, 4 Tl 3.52
In1 0.5000 0.5000 0.5000  8 Mg 3.15, 4 In 3.52

As for the size of the total moment: 0.00 μB per cell. As for the energy of formation: -0.0493 eV per atom. For the offset from the most stable computed form, the calculation gives 0 meV per atom. The calculation puts the density of states at the Fermi level at 2.5 states/eV/f.u. Its total energy is -2.0917 eV/atom. As for the mass density: 6.736 g cm⁻³.

=====

Record 6
A plane-wave DFT calculation with PBE was carried out for a relaxed structure of LaTbPm2Se5.

Lattice parameters (Å, degrees): 4.2515 9.6217 13.1095 90.00 90.00 102.76
Last column: nearest neighbours and their distance in Å.
Atoms (fractional coordinates):
La1 0.6071 0.2142 0.8973  4 Se 2.96-3.14
La2 0.3929 0.7858 0.3973  4 Se 2.96-3.14
Tb1 0.7168 0.4336 0.5710  6 Se 2.89-2.99
Tb2 0.2832 0.5664 0.0710  6 Se 2.89-2.99
Pm1 0.9016 0.8031 0.8266  5 Se 2.88-2.93
Pm2 0.0266 0.0531 0.6035  6 Se 2.85-2.99
Pm3 0.0984 0.1969 0.3266  5 Se 2.88-2.93
Pm4 0.9734 0.9469 0.1035  6 Se 2.85-2.99
Se1 0.4253 0.8506 0.9767  4 Pm 2.85-2.93, 1 Tb 2.94
Se2 0.7636 0.5273 0.9227  1 Pm 2.88, 2 Tb 2.90, 1 La 2.96
Se3 0.4887 0.9774 0.7421  4 Pm 2.89-2.90, 1 La 3.01
Se4 0.1662 0.3324 0.7138  2 Tb 2.99, 1 Pm 2.99
Se5 0.8710 0.7419 0.5704  1 Tb 2.89, 1 Pm 2.95, 2 La 3.14
Se6 0.5747 0.1494 0.4767  4 Pm 2.85-2.93, 1 Tb 2.94
Se7 0.2364 0.4727 0.4227  1 Pm 2.88, 2 Tb 2.90, 1 La 2.96
Se8 0.5113 0.0226 0.2421  4 Pm 2.89-2.90, 1 La 3.01
Se9 0.8338 0.6676 0.2138  2 Tb 2.99, 1 Pm 2.99
Se10 0.1290 0.2581 0.0704  1 Tb 2.89, 1 Pm 2.95, 2 La 3.14

As for the size of the total moment: 0.00 μB per cell. Its formation energy without anion corrections is -16.01 eV/f.u. The calculation puts the density of states at the Fermi level at 3.4 states/eV/f.u. Its total energy is -5.8326 eV/atom. As for the mass density: 6.240 g cm⁻³.

=====

Record 7
A plane-wave DFT calculation with PBE was carried out for a relaxed structure of Hg2Mo2As.

Lattice parameters (Å, degrees): 6.4192 6.4192 4.6856 90.00 90.00 90.00
Last column: nearest neighbours and their distance in Å.
Atoms (fractional coordinates):
As1 0.0000 0.0000 0.0000  4 Mo 2.49
As2 0.5000 0.5000 0.0000  4 Mo 2.49
Mo1 0.3633 0.8633 0.0000  1 Mo 2.48, 2 As 2.49
Mo2 0.8633 0.6367 0.0000  1 Mo 2.48, 2 As 2.49
Mo3 0.6367 0.1367 0.0000  1 Mo 2.48, 2 As 2.49
Mo4 0.1367 0.3633 0.0000  1 Mo 2.48, 2 As 2.49
Hg1 0.1700 0.6700 0.5000  6 Mo 2.93-3.07, 1 Hg 3.09
Hg2 0.6700 0.8300 0.5000  6 Mo 2.93-3.07, 1 Hg 3.09
Hg3 0.8300 0.3300 0.5000  6 Mo 2.93-3.07, 1 Hg 3.09
Hg4 0.3300 0.1700 0.5000  6 Mo 2.93-3.07, 1 Hg 3.09

As for the size of the total moment: 0.00 μB per cell. As for the energy of formation: 0.2683 eV per atom. For the offset from the most stable computed form, the calculation gives 0 meV per atom. The calculation puts the density of states at the Fermi level at 4.9 states/eV/f.u. Its total energy is -5.1148 eV/atom. As for the mass density: 11.490 g cm⁻³.

=====

Record 8
A plane-wave DFT calculation with PBE was carried out for a relaxed structure of NbSi2SnF.

Lattice parameters (Å, degrees): 5.0888 4.0827 5.0888 90.00 90.00 90.00
Last column: nearest neighbours and their distance in Å.
Atoms (fractional coordinates):
Nb1 0.5000 0.5000 0.5000  8 Si 3.26, 4 F 3.60
Si1 0.0000 0.0000 0.5000  2 Sn 2.54
Si2 0.5000 0.0000 0.0000  2 Sn 2.54
Sn1 0.0000 0.0000 0.0000  2 F 2.04
F1 0.0000 0.5000 0.0000  2 Sn 2.04

As for the size of the total moment: 1.76 μB per cell. Its formation energy without anion corrections is 2.83 eV/f.u. The calculation puts the density of states at the Fermi level at 3.8 states/eV/f.u. Its total energy is -4.7918 eV/atom. As for the mass density: 4.504 g cm⁻³.

=====

Record 9
A plane-wave DFT calculation with PBE was carried out for a relaxed structure of CePm9Nd2.

Lattice parameters (Å, degrees): 5.1552 5.1552 15.4601 90.00 90.00 90.00
Last column: nearest neighbours and their distance in Å.
Atoms (fractional coordinates):
Ce1 0.0000 0.0000 0.0000  12 Pm 3.61-3.65
Pm1 0.5000 0.5000 0.0000  8 Pm 3.61, 4 Ce 3.65
Pm2 0.5000 0.5000 0.3330  4 Nd 3.65, 8 Pm 3.65-3.68
Pm3 0.5000 0.5000 0.6670  4 Nd 3.65, 8 Pm 3.65-3.68
Pm4 0.5000 0.0000 0.1631  2 Ce 3.61, 8 Pm 3.61-3.68, 2 Nd 3.67
Pm5 0.5000 0.0000 0.5000  8 Pm 3.65, 4 Nd 3.66
Pm6 0.5000 0.0000 0.8369  2 Ce 3.61, 8 Pm 3.61-3.68, 2 Nd 3.67
Pm7 0.0000 0.5000 0.1631  8 Pm 3.61-3.68, 2 Ce 3.61, 2 Nd 3.67
Pm8 0.0000 0.5000 0.5000  8 Pm 3.65, 4 Nd 3.66
Pm9 0.0000 0.5000 0.8369  8 Pm 3.61-3.68, 2 Ce 3.61, 2 Nd 3.67
Nd1 0.0000 0.0000 0.3319  12 Pm 3.65-3.67
Nd2 0.0000 0.0000 0.6681  12 Pm 3.65-3.67

As for the size of the total moment: 0.81 μB per cell. As for the energy of formation: 0.0343 eV per atom. The calculation puts the density of states at the Fermi level at 21.1 states/eV/f.u. Its total energy is -4.8178 eV/atom. As for the mass density: 7.006 g cm⁻³.

=====

Record 10
A plane-wave DFT calculation with PBE was carried out for a relaxed structure of Mg2FeRh.

Lattice parameters (Å, degrees): 3.1338 3.1338 6.2443 90.00 90.00 90.00
Last column: nearest neighbours and their distance in Å.
Atoms (fractional coordinates):
Fe1 0.5000 0.5000 0.7500  8 Mg 2.76
Mg1 0.0000 0.0000 0.0124  4 Rh 2.67, 4 Fe 2.76, 1 Mg 2.97
Mg2 0.0000 0.0000 0.4876  4 Rh 2.67, 4 Fe 2.76, 1 Mg 2.97
Rh1 0.5000 0.5000 0.2500  8 Mg 2.67

As for the size of the total moment: 2.42 μB per cell. As for the energy of formation: -0.0788 eV per atom. The calculation puts the density of states at the Fermi level at 2.7 states/eV/f.u. Its total energy is -4.8297 eV/atom. As for the mass density: 5.615 g cm⁻³.

=====

Record 11
A plane-wave DFT calculation with PBE was carried out for a relaxed structure of BIrN2O.

Lattice parameters (Å, degrees): 3.3787 3.3787 3.4630 90.00 90.00 90.00
Last column: nearest neighbours and their distance in Å.
Atoms (fractional coordinates):
B1 0.0000 0.0000 0.0000  4 N 1.69, 2 O 1.73
Ir1 0.5000 0.5000 0.5000  4 O 2.39, 8 N 2.42
O1 0.0000 0.0000 0.5000  2 B 1.73
N1 0.0000 0.5000 0.0000  2 B 1.69
N2 0.5000 0.0000 0.0000  2 B 1.69

As for the size of the total moment: 0.00 μB per cell. Its formation energy without anion corrections is 5.55 eV/f.u. The calculation puts the density of states at the Fermi level at 1.4 states/eV/f.u. Its total energy is -6.3199 eV/atom. As for the mass density: 10.377 g cm⁻³.